## Nb3PH (PBEsol)

Data for an optimized crystal structure of Nb3PH.

```
Nb3PH
1.0
4.0470 0.0000 0.0000
0.0000 4.0470 0.0000
0.0000 0.0000 4.0470
Nb P H
3 1 1
Direct
0.0000 0.0000 0.5000
0.0000 0.5000 0.0000
0.5000 0.0000 0.0000
0.5000 0.5000 0.5000
0.0000 0.0000 0.0000
```

## Sr4NiRh (PBEsol)

Data for an optimized crystal structure of Sr4NiRh.

```
Sr4NiRh
1.0
0.0000 4.4548 4.4548
4.4548 0.0000 4.4548
4.4548 4.4548 0.0000
Sr Ni Rh
4 1 1
Direct
0.1254 0.1254 0.1254
0.1254 0.1254 0.6237
0.1254 0.6237 0.1254
0.6237 0.1254 0.1254
0.7500 0.7500 0.7500
0.5000 0.5000 0.5000
```

Results
Energy relative to the elements, eV per atom: 1.145

## MnWF3 (PBEsol)

Data for an optimized crystal structure of MnWF3.

```
MnWF3
1.0
4.1567 0.0000 0.0000
0.0000 4.1567 0.0000
0.0000 0.0000 4.1567
Mn W F
1 1 3
Direct
0.0000 0.0000 0.0000
0.5000 0.5000 0.5000
0.0000 0.0000 0.5000
0.0000 0.5000 0.0000
0.5000 0.0000 0.0000
```

Results
Formation energy without anion corrections, eV per atom: -0.3596

## RuPtW2 (PBEsol)

Data for an optimized crystal structure of RuPtW2.

```
RuPtW2
1.0
3.8802 0.0000 0.0000
0.0000 3.8802 0.0000
0.0000 0.0000 3.9128
Ru Pt W
1 1 2
Direct
0.0000 0.0000 0.0000
0.5000 0.5000 0.0000
0.0000 0.5000 0.5000
0.5000 0.0000 0.5000
```

Results
Energy relative to the elements, eV per atom: -0.171

## ThP2S6 (PBEsol)

Data for an optimized crystal structure of ThP2S6.

```
ThP2S6
1.0
6.9308 0.0000 0.0000
0.0000 6.9308 0.0000
0.0000 0.0000 9.7379
Th P S
2 4 12
Direct
0.0000 0.0000 0.2500
0.0000 0.0000 0.7500
0.0629 0.3504 0.0000
0.3504 0.9371 0.5000
0.6496 0.0629 0.5000
0.9371 0.6496 0.0000
0.1759 0.1768 0.5000
0.1768 0.8241 0.0000
0.2170 0.3249 0.1741
0.2170 0.3249 0.8259
0.3249 0.7830 0.3259
0.3249 0.7830 0.6741
0.6751 0.2170 0.3259
0.6751 0.2170 0.6741
0.7830 0.6751 0.1741
0.7830 0.6751 0.8259
0.8232 0.1759 0.0000
0.8241 0.8232 0.5000
```

Results
Formation energy without anion corrections, eV per atom: -0.8562

## InFe2W (PBEsol)

Data for an optimized crystal structure of InFe2W.

```
InFe2W
1.0
2.9925 0.0000 0.0000
0.0000 2.9925 0.0000
0.0000 0.0000 6.1818
In Fe W
1 2 1
Direct
0.0000 0.0000 0.0000
0.5000 0.5000 0.2822
0.5000 0.5000 0.7178
0.0000 0.0000 0.5000
```

Results
Energy relative to the elements, eV per atom: 0.140

| no. | theoretical density (Mg/m³) | VASP energy (eV per atom) |
| --- | --- | --- |
| 1 | 7.784 | -8.561 |
| 2 | 4.809 | -2.465 |
| 3 | 6.838 | -6.230 |
| 4 | 18.711 | -11.359 |
| 5 | 3.453 | -5.967 |
| 6 | 12.309 | -8.539 |